Record 1
VASP calculation (PBE) on a relaxed structure of CdReAs3.

```
5
Lattice="4.885 0.000 0.000 0.000 4.885 0.000 0.000 0.000 4.885" Properties=species:S:1:pos:R:3 pbc="T T T"
Cd 0.000 0.000 0.000
Re 2.442 2.442 2.442
As 0.000 2.442 2.442
As 2.442 0.000 2.442
As 2.442 2.442 0.000
```

Summary:
- DOS at the Fermi energy (states/eV/atom) = 0.63
- E_form (eV/atom) = 0.5375
- total energy (eV/atom) = -4.925
- calculated volume (Å³ per atom) = 23.31

***

Record 2
VASP calculation (PBE) on a relaxed structure of AlTcAu.

```
12
Lattice="5.925 0.000 0.000 0.000 5.925 0.000 0.000 0.000 5.925" Properties=species:S:1:pos:R:3 pbc="T T T"
Al 0.000 0.000 0.000
Al 0.000 2.962 2.962
Al 2.962 0.000 2.962
Al 2.962 2.962 0.000
Tc 1.481 1.481 4.444
Tc 1.481 4.444 1.481
Tc 4.444 1.481 1.481
Tc 4.444 4.444 4.444
Au 1.481 1.481 1.481
Au 1.481 4.444 4.444
Au 4.444 1.481 4.444
Au 4.444 4.444 1.481
```

Summary:
- DOS at the Fermi energy (states/eV/atom) = 1.22
- E_form (eV/atom) = 0.2205
- total energy (eV/atom) = -5.575
- calculated volume (Å³ per atom) = 17.33